[1]
# PBE Fe2Si, optimized geometry
# * uncorrected formation energy: 292 meV per atom
# * energy: -85.9 eV per cell
data_Fe2Si
_chemical_formula_sum 'Fe8 Si4'
_cell_length_a 5.425
_cell_length_b 5.425
_cell_length_c 5.425
_cell_angle_alpha 90.00
_cell_angle_beta 90.00
_cell_angle_gamma 90.00
_space_group_name_H-M_alt 'P a -3'
_space_group_IT_number 205
_space_group_name_Hall '-P 2ac 2ab 3'
loop_
_atom_site_label
_atom_site_type_symbol
_atom_site_fract_x
_atom_site_fract_y
_atom_site_fract_z
_atom_site_occupancy
Fe1 Fe 0.130 0.130 0.130 1
Si1 Si 0.000 0.000 0.500 1

=====

[2]
# PBE FeSi3, optimized geometry
# * uncorrected formation energy: 311 meV per atom
# * energy: -47.0 eV per cell
data_FeSi3
_chemical_formula_sum 'Fe2 Si6'
_cell_length_a 5.0984
_cell_length_b 5.0984
_cell_length_c 4.4888
_cell_angle_alpha 90.00
_cell_angle_beta 90.00
_cell_angle_gamma 120.00
_space_group_name_H-M_alt 'P 63/m m c'
_space_group_IT_number 194
_space_group_name_Hall '-P 6c 2c'
loop_
_atom_site_label
_atom_site_type_symbol
_atom_site_fract_x
_atom_site_fract_y
_atom_site_fract_z
_atom_site_occupancy
Fe1 Fe 0.3333 0.6667 0.2500 1
Si1 Si 0.1714 0.3428 0.7500 1